! Ti12Al3Fe5, optimized geometry, DFT PBE; values from VASP
&SYSTEM
  ibrav = 0, nat = 80, ntyp = 3
/
ATOMIC_SPECIES
Al 26.98 Al.upf
Fe 55.84 Fe.upf
Ti 47.87 Ti.upf
ATOMIC_POSITIONS crystal
Al 0.750 0.375 0.125
Al 0.875 0.750 0.125
Al 0.375 0.750 0.625
Al 0.250 0.125 0.375
Al 0.875 0.125 0.250
Al 0.375 0.625 0.250
Al 0.625 0.375 0.750
Al 0.125 0.875 0.750
Al 0.750 0.875 0.625
Al 0.625 0.250 0.375
Al 0.125 0.250 0.875
Al 0.250 0.625 0.875
Fe 0.125 0.375 0.250
Fe 0.000 0.500 0.000
Fe 0.000 0.000 0.000
Fe 0.375 0.250 0.125
Fe 0.500 0.000 0.500
Fe 0.500 0.500 0.000
Fe 0.125 0.750 0.375
Fe 0.750 0.125 0.875
Fe 0.750 0.625 0.375
Fe 0.375 0.125 0.750
Fe 0.625 0.875 0.250
Fe 0.500 0.500 0.500
Fe 0.500 0.000 0.000
Fe 0.000 0.000 0.500
Fe 0.250 0.375 0.625
Fe 0.250 0.875 0.125
Fe 0.000 0.500 0.500
Fe 0.875 0.250 0.625
Fe 0.625 0.750 0.875
Fe 0.875 0.625 0.750
Ti 0.705 0.116 0.033
Ti 0.327 0.533 0.416
Ti 0.967 0.384 0.295
Ti 0.533 0.205 0.116
Ti 0.589 0.705 0.673
Ti 0.967 0.584 0.173
Ti 0.327 0.795 0.411
Ti 0.084 0.911 0.116
Ti 0.584 0.967 0.673
Ti 0.705 0.589 0.173
Ti 0.795 0.467 0.384
Ti 0.827 0.916 0.033
Ti 0.116 0.705 0.533
Ti 0.384 0.416 0.089
Ti 0.089 0.916 0.384
Ti 0.411 0.116 0.584
Ti 0.089 0.173 0.205
Ti 0.467 0.673 0.084
Ti 0.827 0.911 0.295
Ti 0.116 0.411 0.084
Ti 0.384 0.967 0.795
Ti 0.584 0.616 0.411
Ti 0.916 0.827 0.533
Ti 0.795 0.327 0.911
Ti 0.416 0.384 0.589
Ti 0.084 0.173 0.467
Ti 0.205 0.673 0.089
Ti 0.173 0.089 0.705
Ti 0.616 0.033 0.205
Ti 0.884 0.589 0.916
Ti 0.533 0.327 0.916
Ti 0.589 0.884 0.416
Ti 0.911 0.827 0.795
Ti 0.911 0.084 0.616
Ti 0.884 0.295 0.467
Ti 0.173 0.084 0.967
Ti 0.616 0.584 0.911
Ti 0.416 0.033 0.327
Ti 0.295 0.411 0.827
Ti 0.205 0.533 0.616
Ti 0.916 0.089 0.884
Ti 0.673 0.205 0.589
Ti 0.467 0.795 0.884
Ti 0.033 0.416 0.827
Ti 0.411 0.295 0.327
Ti 0.033 0.616 0.705
Ti 0.673 0.467 0.584
Ti 0.295 0.884 0.967
CELL_PARAMETERS angstrom
-7.804 3.715 8.959
-5.670 -8.409 -7.219
10.113 -5.106 5.161
! - E (eV per cell) = -551.2
! - total moment (μB/cell) = 0.00
! - symmetry = Ia-3d, No. 230
! - theoretical density (g/cm3) = 4.2